# 1
DFT (GGA-PBE) results for a relaxed Ho4CSO2 crystal.

The structure in extended XYZ format:
```
8
Lattice="6.100 0.000 0.000 0.000 3.568 0.000 -2.114 0.000 5.932" Properties=species:S:1:pos:R:3 pbc="T T T"
Ho 0.983 0.000 1.321
Ho -0.112 1.784 4.555
Ho 4.098 1.784 1.377
Ho 3.003 0.000 4.610
C 3.050 0.000 0.000
S 1.993 1.784 2.966
O -1.057 0.000 2.966
O 0.000 1.784 0.000
```

## Properties
ΔE_f (raw)   -1573.3 kJ/mol of formula units


# 2
DFT (GGA-PBE) results for a relaxed PuB12 crystal.

The structure in extended XYZ format:
```
13
Lattice="0.000 3.729 3.729 3.729 0.000 3.729 3.729 3.729 0.000" Properties=species:S:1:pos:R:3 pbc="T T T"
Pu 0.000 0.000 0.000
B 3.729 2.468 2.468
B 4.990 3.729 2.468
B 4.990 2.468 3.729
B 2.468 3.729 2.468
B 3.729 4.990 2.468
B 2.468 2.468 3.729
B 4.990 4.990 3.729
B 3.729 2.468 4.990
B 4.990 3.729 4.990
B 2.468 4.990 3.729
B 2.468 3.729 4.990
B 3.729 4.990 4.990
```

## Properties
E_form   -0.2530 eV per atom


# 3
DFT (GGA-PBE) results for a relaxed CdNiCl2 crystal.

The structure in extended XYZ format:
```
8
Lattice="7.025 0.000 0.000 0.000 3.170 0.000 -2.989 0.000 8.719" Properties=species:S:1:pos:R:3 pbc="T T T"
Cd 0.000 0.000 0.000
Cd 3.512 1.585 0.000
Ni -1.494 1.585 4.359
Ni 2.018 0.000 4.359
Cl -1.364 0.000 5.891
Cl 1.888 1.585 2.828
Cl 2.148 1.585 5.891
Cl 5.400 0.000 2.828
```

## Properties
ΔE_f (raw)   -116.7 kJ/mol of formula units
Relative energy among the computed polymorphs   91 meV/atom


| no. | calculated density (g/cm³) | total magnetization (μB/cell) | calculated total energy (eV per cell) |
| --- | --- | --- | --- |
| 1 | 9.5 | 0.00 | -57.9 |
| 2 | 6.0 | 4.02 | -97.8 |
| 3 | 4.1 | 0.82 | -23.2 |